A plane-wave DFT calculation with PBE was carried out for a geometry-optimized LaPm3Pr2 structure.

total moment = 0.00 μB/f.u.
energy = -57.3 eV per cell
ΔE_f = 0.0124 eV/atom

abc: 9.037 7.379 7.379
angles: 120.00 90.00 90.00
Positions (direct):
La  0.335  0.667  0.333
La  0.665  0.333  0.667
Pm  0.666  0.333  0.167
Pm  0.666  0.833  0.667
Pm  0.666  0.833  0.167
Pm  0.334  0.167  0.833
Pm  0.334  0.667  0.833
Pm  0.334  0.167  0.333
Pr  0.000  0.000  0.000
Pr  0.000  0.500  0.500
Pr  0.000  0.500  0.000
Pr  0.000  0.000  0.500

=====

A plane-wave DFT calculation with PBE was carried out for a geometry-optimized La3PmPr4S8 structure.

total moment = 0.00 μB/f.u.
energy = -104.9 eV per cell

abc: 8.238 8.228 8.238
angles: 120.04 120.00 90.00
Positions (direct):
La  0.500  0.500  0.000
La  0.500  0.500  0.500
La  0.000  0.500  0.500
Pm  0.000  0.500  0.000
Pr  0.500  0.000  0.000
Pr  0.500  0.000  0.500
Pr  0.000  0.000  0.000
Pr  0.000  0.000  0.500
S  0.248  0.749  0.001
S  0.248  0.749  0.495
S  0.249  0.248  0.499
S  0.753  0.749  0.001
S  0.247  0.251  0.999
S  0.751  0.752  0.501
S  0.752  0.251  0.505
S  0.752  0.251  0.999

=====

A plane-wave DFT calculation with PBE was carried out for a geometry-optimized La3PmPr3S8 structure.

total moment = 0.00 μB/f.u.
energy = -98.4 eV per cell

abc: 8.211 8.211 8.264
angles: 119.79 90.00 120.00
Positions (direct):
La  0.000  0.000  0.000
La  0.000  0.500  0.000
La  0.500  0.500  0.000
Pm  0.000  0.000  0.500
Pr  0.500  0.000  0.500
Pr  0.500  0.500  0.500
Pr  0.000  0.500  0.500
S  0.250  0.501  0.251
S  0.750  0.499  0.749
S  0.755  0.510  0.256
S  0.245  0.490  0.744
S  0.755  0.001  0.256
S  0.245  0.999  0.744
S  0.246  0.001  0.256
S  0.754  0.999  0.744

=====

A plane-wave DFT calculation with PBE was carried out for a geometry-optimized LaPmPr2S4 structure.

total moment = 0.00 μB/f.u.
energy = -52.2 eV per cell

abc: 4.077 7.123 7.112
angles: 109.24 90.00 90.00
Positions (direct):
La  0.000  0.000  0.000
Pm  0.500  0.500  0.000
Pr  0.500  0.000  0.500
Pr  0.000  0.500  0.500
S  0.500  0.253  0.249
S  0.500  0.747  0.751
S  0.000  0.255  0.754
S  0.000  0.745  0.246

=====

A plane-wave DFT calculation with PBE was carried out for a geometry-optimized La2PmPrS4 structure.

total moment = 0.00 μB/f.u.
energy = -52.7 eV per cell

abc: 4.094 7.144 7.128
angles: 109.33 90.00 90.00
Positions (direct):
La  0.500  0.000  0.500
La  0.000  0.500  0.500
Pm  0.500  0.500  0.000
Pr  0.000  0.000  0.000
S  0.500  0.252  0.246
S  0.500  0.748  0.754
S  0.000  0.255  0.756
S  0.000  0.745  0.244

=====

A plane-wave DFT calculation with PBE was carried out for a geometry-optimized LaPm3Pr2S6 structure.

total moment = 0.00 μB/f.u.
energy = -78.2 eV per cell

abc: 7.064 7.064 7.068
angles: 99.57 99.57 120.15
Positions (direct):
La  0.000  0.000  0.000
Pm  0.168  0.832  0.500
Pm  0.832  0.168  0.500
Pm  0.500  0.500  0.500
Pr  0.333  0.667  0.000
Pr  0.667  0.333  0.000
S  0.914  0.581  0.743
S  0.752  0.752  0.257
S  0.086  0.419  0.257
S  0.581  0.914  0.743
S  0.248  0.248  0.743
S  0.419  0.086  0.257

=====

A plane-wave DFT calculation with PBE was carried out for a geometry-optimized La2PmPr3S6 structure.

total moment = 0.00 μB/f.u.
energy = -78.7 eV per cell

abc: 7.129 7.129 7.109
angles: 99.63 99.63 120.11
Positions (direct):
La  0.334  0.666  0.000
La  0.666  0.334  0.000
Pm  0.000  0.000  0.000
Pr  0.168  0.832  0.500
Pr  0.832  0.168  0.500
Pr  0.500  0.500  0.500
S  0.917  0.588  0.752
S  0.755  0.755  0.250
S  0.083  0.412  0.248
S  0.588  0.917  0.752
S  0.245  0.245  0.750
S  0.412  0.083  0.248

=====

A plane-wave DFT calculation with PBE was carried out for a geometry-optimized LaPm2Pr3S6 structure.

total moment = 0.00 μB/f.u.
energy = -78.2 eV per cell

abc: 7.091 7.091 7.080
angles: 99.61 99.61 120.13
Positions (direct):
La  0.000  0.000  0.000
Pm  0.333  0.667  0.000
Pm  0.667  0.333  0.000
Pr  0.166  0.834  0.500
Pr  0.834  0.166  0.500
Pr  0.500  0.500  0.500
S  0.918  0.580  0.753
S  0.744  0.744  0.245
S  0.082  0.420  0.247
S  0.580  0.918  0.753
S  0.256  0.256  0.755
S  0.420  0.082  0.247

=====

total moment of number 1 (LaPm3Pr2)?
0.00 μB/f.u.

=====

Which value of energy does entry 3 give?
-98.4 eV per cell